Entry 1:
A relaxed CdCoSb2 crystal, computed with PBEsol.

```
CdCoSb2
1.0
4.543 0.000 0.000
0.000 4.543 0.000
0.000 0.000 3.883
Cd Co Sb
1 1 2
direct
0.000 0.000 0.000 Cd
0.500 0.500 0.000 Co
0.000 0.500 0.500 Sb
0.500 0.000 0.500 Sb
```

Calculated values
- E: -16.244 eV/f.u.
- DOS at the Fermi energy: 4.16 states/eV/f.u.
- Total magnetic moment: 0.806 μB/f.u.
- Formation energy from raw total energies: 0.4512 eV per atom

***

Entry 2:
A relaxed CdCoSb2 crystal, computed with PBEsol.

```
CdCoSb2
1.0
3.127 0.000 0.000
0.000 3.127 0.000
0.000 0.000 8.404
Cd Co Sb
1 1 2
direct
0.000 0.000 0.000 Cd
0.000 0.000 0.500 Co
0.500 0.500 0.314 Sb
0.500 0.500 0.686 Sb
```

Calculated values
- E: -17.705 eV/f.u.
- DOS at the Fermi energy: 3.22 states/eV/f.u.
- Total magnetic moment: 0.002 μB/f.u.
- Formation energy from raw total energies: 0.0860 eV per atom

***

Entry 3:
A relaxed CdCoSb2 crystal, computed with PBEsol.

```
CdCoSb2
1.0
-2.304 2.304 3.760
2.304 -2.304 3.760
2.304 2.304 -3.760
Cd Co Sb
1 1 2
direct
0.000 0.000 0.000 Cd
0.500 0.500 0.000 Co
0.250 0.750 0.500 Sb
0.750 0.250 0.500 Sb
```

Calculated values
- E: -16.399 eV/f.u.
- DOS at the Fermi energy: 2.99 states/eV/f.u.
- Total magnetic moment: 0.371 μB/f.u.
- Formation energy from raw total energies: 0.4123 eV per atom

***

Entry 4:
A relaxed CdCo2Sb crystal, computed with PBEsol.

```
CdCo2Sb
1.0
0.000 3.076 3.076
3.076 0.000 3.076
3.076 3.076 0.000
Cd Co Sb
1 2 1
direct
0.000 0.000 0.000 Cd
0.250 0.250 0.250 Co
0.750 0.750 0.750 Co
0.500 0.500 0.500 Sb
```

Calculated values
- E above lowest polymorph: 0.0 meV per atom
- E: -20.534 eV/f.u.
- DOS at the Fermi energy: 1.87 states/eV/f.u.
- Total magnetic moment: 1.485 μB/f.u.
- Formation energy from raw total energies: 0.1736 eV per atom

***

Among the records above, which one has the highest formation energy from raw total energies? number 1

***

DOS at the Fermi energy of number 2 (CdCoSb2)? 3.22 states/eV/f.u.

***

The lowest E belongs to which entry? CdCo2Sb